## 1
A plane-wave DFT calculation with PBE-GGA was carried out for a geometry-optimized MnCrPb structure.

Unit cell a=3.1899 b=3.1899 c=6.4643 alpha=90.00 beta=90.00 gamma=120.00
Closest atoms and distances in Å follow each position.
Space group P3m1 (No. 156)
Inequivalent atoms, fractional coordinates:
Mn1 0.0000 0.0000 0.0000  3 Cr 2.39
Cr1 0.3333 0.6667 0.7655  3 Mn 2.39
Pb1 0.6667 0.3333 0.3796  3 Mn 3.07, 3 Cr 3.10, 6 Pb 3.19

Computed properties:
Theoretical density (g/cm3): 9.16

---

## 2
A plane-wave DFT calculation with PBE-GGA was carried out for a geometry-optimized MnCrPb structure.

Unit cell a=3.1458 b=3.1458 c=11.2671 alpha=90.00 beta=90.00 gamma=90.00
Closest atoms and distances in Å follow each position.
Space group I4mm (No. 107)
Inequivalent atoms, fractional coordinates:
Mn1 0.0000 0.0000 0.0000  4 Cr 2.53
Cr1 0.0000 0.0000 0.3932  4 Mn 2.53
Pb1 0.0000 0.0000 0.6950  5 Mn 3.13-3.44, 4 Pb 3.15, 5 Cr 3.15-3.40

Computed properties:
Theoretical density (g/cm3): 9.36

---

Quick one: least stable of them? 1

---

## 1
A plane-wave DFT calculation with PBE-GGA was carried out for a geometry-optimized MnCrPd structure.

Unit cell a=4.5317 b=2.8444 c=6.2727 alpha=90.00 beta=98.27 gamma=90.00
Closest atoms and distances in Å follow each position.
Space group Cm (No. 8)
Inequivalent atoms, fractional coordinates:
Mn1 0.0000 0.0000 0.0000  2 Cr 2.30
Cr1 0.4530 0.0000 0.7093  2 Mn 2.30
Pd1 0.2252 0.5000 0.3566  6 Pd 2.68-2.84, 3 Cr 2.68-2.71, 3 Mn 2.71-2.72

Computed properties:
Theoretical density (g/cm3): 8.86

---

## 2
A plane-wave DFT calculation with PBE-GGA was carried out for a geometry-optimized MnCrPd structure.

Unit cell a=2.8296 b=4.4979 c=6.8520 alpha=90.00 beta=90.00 gamma=90.00
Closest atoms and distances in Å follow each position.
Space group Pmmn (No. 59, origin choice 2)
Inequivalent atoms, fractional coordinates:
Mn1 0.2500 0.2500 0.0528  4 Cr 2.36-2.53, 1 Pd 2.63
Cr1 0.2500 0.7500 0.2225  4 Mn 2.36-2.53
Pd1 0.2500 0.2500 0.4371  1 Mn 2.63, 4 Cr 2.69-2.73, 6 Pd 2.79-2.83

Computed properties:
Theoretical density (g/cm3): 8.13

---

Quick one: least stable of them? 2

---

## 1
A plane-wave DFT calculation with PBE-GGA was carried out for a geometry-optimized MnCrPd3 structure.

Unit cell a=4.5889 b=4.5889 c=4.5889 alpha=90.00 beta=90.00 gamma=90.00
Closest atoms and distances in Å follow each position.
Space group Pm-3m (No. 221)
Inequivalent atoms, fractional coordinates:
Mn1 0.0000 0.0000 0.0000  6 Pd 2.29
Cr1 0.5000 0.5000 0.5000  12 Pd 3.24
Pd1 0.0000 0.0000 0.5000  2 Mn 2.29

Computed properties:
Theoretical density (g/cm3): 7.32

---

## 2
A plane-wave DFT calculation with PBE-GGA was carried out for a geometry-optimized MnCrPd3 structure.

Unit cell a=4.5680 b=4.5680 c=4.5680 alpha=90.00 beta=90.00 gamma=90.00
Closest atoms and distances in Å follow each position.
Space group Pm-3m (No. 221)
Inequivalent atoms, fractional coordinates:
Mn1 0.0000 0.0000 0.0000  12 Pd 3.23
Cr1 0.5000 0.5000 0.5000  6 Pd 2.28
Pd1 0.0000 0.5000 0.5000  2 Cr 2.28

Computed properties:
Theoretical density (g/cm3): 7.42

---

Quick one: least stable of them? 1